The following is a DFT calculation (GGA-PBE) of TaBeP2 after structural relaxation.

As for the total energy: -52.00 eV for the cell shown. The total magnetization comes out at 0.0 μB per cell. The formation enthalpy at 0 K comes out at 100.2 meV per atom.

The space group is I4/mmm (No. 139) and the conventional cell measures 3.691, 3.691 and 7.764 Å, with angles of 90.00, 90.00 and 90.00 degrees. The asymmetric unit holds Ta at (0.000, 0.000, 0.000), Be at (0.000, 0.000, 0.500) and P at (0.000, 0.500, 0.250).


The following is a DFT calculation (GGA-PBE) of TaBe2P after structural relaxation.

As for the total energy: -49.99 eV for the cell shown. The total magnetization comes out at 0.0 μB per cell. The formation enthalpy at 0 K comes out at -69.8 meV per atom.

The space group is I4/mmm (No. 139) and the conventional cell measures 3.458, 3.458 and 8.210 Å, with angles of 90.00, 90.00 and 90.00 degrees. The asymmetric unit holds Ta at (0.000, 0.000, 0.000), Be at (0.000, 0.500, 0.250) and P at (0.000, 0.000, 0.500).


The following is a DFT calculation (GGA-PBE) of TaBe2P after structural relaxation.

As for the total energy: -25.40 eV for the cell shown. The total magnetization comes out at 0.0 μB per cell. The formation enthalpy at 0 K comes out at -170.4 meV per atom.

The space group is Pmm2 (No. 25) and the conventional cell measures 3.067, 3.529 and 4.556 Å, with angles of 90.00, 90.00 and 90.00 degrees. The asymmetric unit holds Ta at (0.000, 0.000, 0.000), Be at (0.500, 0.000, 0.505), Be at (0.500, 0.500, 0.746) and P at (0.500, 0.500, 0.237).


The following is a DFT calculation (GGA-PBE) of TaBe2P after structural relaxation.

As for the total energy: -93.25 eV for the cell shown. The total magnetization comes out at 0.0 μB per cell. The formation enthalpy at 0 K comes out at 350.8 meV per atom.

The space group is F-43m (No. 216) and the conventional cell measures 5.851, 5.851 and 5.851 Å, with angles of 90.00, 90.00 and 90.00 degrees. The asymmetric unit holds Ta at (0.000, 0.000, 0.000), Be at (0.000, 0.000, 0.500), Be at (0.250, 0.250, 0.750) and P at (0.250, 0.250, 0.250).


The following is a DFT calculation (GGA-PBE) of TaBeP2 after structural relaxation.

As for the total energy: -54.39 eV for the cell shown. The total magnetization comes out at 0.0 μB per cell. The formation enthalpy at 0 K comes out at -199.2 meV per atom.

The space group is Immm (No. 71) and the conventional cell measures 3.272, 4.490 and 7.200 Å, with angles of 90.00, 90.00 and 90.00 degrees. The asymmetric unit holds Ta at (0.000, 0.000, 0.000), Be at (0.000, 0.000, 0.500) and P at (0.000, 0.500, 0.211).


The following is a DFT calculation (GGA-PBE) of TaBeP2 after structural relaxation.

As for the total energy: -52.57 eV for the cell shown. The total magnetization comes out at 0.0 μB per cell. The formation enthalpy at 0 K comes out at 28.4 meV per atom.

The space group is Cmmm (No. 65) and the conventional cell measures 5.357, 6.319 and 3.214 Å, with angles of 90.00, 90.00 and 90.00 degrees. The asymmetric unit holds Ta at (0.000, 0.000, 0.000), Be at (0.000, 0.500, 0.000) and P at (0.250, 0.250, 0.500).